1.
A plane-wave DFT calculation with PBE was carried out for crystalline Nd2PuNi4Ge3 at its relaxed geometry.

Structure (CIF):
```
data_Nd2PuNi4Ge3
_cell_length_a 4.244
_cell_length_b 4.244
_cell_length_c 10.098
_cell_angle_alpha 90.00
_cell_angle_beta 90.00
_cell_angle_gamma 90.00
_symmetry_space_group_name_H-M 'P 1'
_symmetry_Int_Tables_number 1
loop_
_symmetry_equiv_pos_as_xyz
'x,y,z'
loop_
_atom_site_label
_atom_site_type_symbol
_atom_site_fract_x
_atom_site_fract_y
_atom_site_fract_z
_atom_site_occupancy
Ni1 Ni 0.500 0.500 0.000 1
Ge1 Ge 0.500 0.000 0.883 1
Ni2 Ni 0.000 0.500 0.350 1
Nd1 Nd 0.000 0.500 0.774 1
Ni3 Ni 0.000 0.000 0.000 1
Ni4 Ni 0.500 0.000 0.650 1
Pu1 Pu 0.500 0.500 0.500 1
Nd2 Nd 0.500 0.000 0.226 1
Ge2 Ge 0.000 0.000 0.500 1
Ge3 Ge 0.000 0.500 0.117 1
```

Results
ΔE_f ... -0.55 eV/atom



2.
A plane-wave DFT calculation with PBE was carried out for crystalline Ag3Pd2Au at its relaxed geometry.

Structure (CIF):
```
data_Ag3Pd2Au
_cell_length_a 7.065
_cell_length_b 5.770
_cell_length_c 5.770
_cell_angle_alpha 120.00
_cell_angle_beta 90.00
_cell_angle_gamma 90.00
_symmetry_space_group_name_H-M 'P 1'
_symmetry_Int_Tables_number 1
loop_
_symmetry_equiv_pos_as_xyz
'x,y,z'
loop_
_atom_site_label
_atom_site_type_symbol
_atom_site_fract_x
_atom_site_fract_y
_atom_site_fract_z
_atom_site_occupancy
Ag1 Ag 0.330 0.167 0.334 1
Ag2 Ag 0.330 0.167 0.833 1
Pd1 Pd 0.000 0.500 0.000 1
Ag3 Ag 0.670 0.833 0.167 1
Au1 Au 0.674 0.333 0.667 1
Pd2 Pd 0.000 0.000 0.500 1
Ag4 Ag 0.670 0.833 0.666 1
Ag5 Ag 0.330 0.666 0.833 1
Au2 Au 0.326 0.667 0.333 1
Ag6 Ag 0.670 0.334 0.167 1
Pd3 Pd 0.000 0.500 0.500 1
Pd4 Pd 0.000 0.000 0.000 1
```

Results
E above lowest polymorph ... 5.1 meV/atom
ΔE_f ... -0.05 eV/atom



3.
A plane-wave DFT calculation with PBE was carried out for crystalline V2GaSiBr at its relaxed geometry.

Structure (CIF):
```
data_V2GaSiBr
_cell_length_a 4.861
_cell_length_b 5.102
_cell_length_c 4.861
_cell_angle_alpha 90.00
_cell_angle_beta 90.00
_cell_angle_gamma 90.00
_symmetry_space_group_name_H-M 'P 1'
_symmetry_Int_Tables_number 1
loop_
_symmetry_equiv_pos_as_xyz
'x,y,z'
loop_
_atom_site_label
_atom_site_type_symbol
_atom_site_fract_x
_atom_site_fract_y
_atom_site_fract_z
_atom_site_occupancy
Si1 Si 0.500 0.500 0.500 1
Br1 Br 0.000 0.500 0.000 1
V1 V 0.500 0.000 0.000 1
V2 V 0.000 0.000 0.500 1
Ga1 Ga 0.000 0.000 0.000 1
```

Results
Energy relative to the elements, uncorrected ... 1.3866 eV/atom



4.
A plane-wave DFT calculation with PBE was carried out for crystalline KMo2 at its relaxed geometry.

Structure (CIF):
```
data_KMo2
_cell_length_a 6.051
_cell_length_b 6.051
_cell_length_c 8.755
_cell_angle_alpha 88.66
_cell_angle_beta 88.66
_cell_angle_gamma 28.65
_symmetry_space_group_name_H-M 'P 1'
_symmetry_Int_Tables_number 1
loop_
_symmetry_equiv_pos_as_xyz
'x,y,z'
loop_
_atom_site_label
_atom_site_type_symbol
_atom_site_fract_x
_atom_site_fract_y
_atom_site_fract_z
_atom_site_occupancy
Mo1 Mo 0.055 0.055 0.368 1
Mo2 Mo 0.449 0.449 0.559 1
Mo3 Mo 0.686 0.686 0.202 1
K1 K 0.946 0.946 0.990 1
K2 K 0.701 0.701 0.704 1
Mo4 Mo 0.329 0.329 0.343 1
```

Results
E above lowest polymorph ... 371.3 meV/atom
ΔE_f ... 1.01 eV/atom



Values for magnetic moment, Bohr magnetons per cell, ordered as above
5.25, 0.00, 5.93, 0.00
Values for mass density, Mg/m³, ordered as above
8.997, 11.956, 3.851, 4.993